[1]
The following is a DFT calculation (PBE) of crystalline KBaAl2 at its relaxed geometry.

Values from the calculation:
polymorph energy (0 for the lowest one) = 78 meV/atom
electronic total energy = -2.566 eV/atom

a b c (Å): 4.6628 5.4707 12.0000
angles (deg): 90.00 90.00 90.00
Closest atoms and distances in Å follow each position.
Space group Amm2 (No. 38)
Inequivalent atoms, fractional coordinates:
K  0.0000  0.0000  0.0000  7 Al 3.61-3.80
Ba  0.5000  0.0000  0.7073  7 Al 3.56-3.78
Al  0.0000  0.0000  0.3038  2 Al 2.59
Al  0.5000  0.0000  0.3968  2 Al 2.59

---

[2]
The following is a DFT calculation (PBE) of crystalline KBaAl2 at its relaxed geometry.

Values from the calculation:
polymorph energy (0 for the lowest one) = 68 meV/atom
electronic total energy = -2.577 eV/atom

a b c (Å): 11.8915 4.5382 5.9358
angles (deg): 90.00 119.87 90.00
Closest atoms and distances in Å follow each position.
Space group Cm (No. 8)
Inequivalent atoms, fractional coordinates:
K  0.0000  0.0000  0.0000  4 Ba 3.54-3.94, 8 Al 3.67-3.86
Ba  0.3129  0.5000  0.3137  4 K 3.54-3.94, 8 Al 3.65-3.89
Al  0.0908  0.5000  0.5915  2 Al 2.58
Al  0.2102  0.0000  0.7091  2 Al 2.58

---

[3]
The following is a DFT calculation (PBE) of crystalline KBaAl at its relaxed geometry.

Values from the calculation:
polymorph energy (0 for the lowest one) = 404 meV/atom
electronic total energy = -1.977 eV/atom

a b c (Å): 5.9575 5.9575 3.7299
angles (deg): 90.00 90.00 120.00
Closest atoms and distances in Å follow each position.
Space group P3m1 (No. 156)
Inequivalent atoms, fractional coordinates:
K  0.0000  0.0000  0.0000  3 Al 3.59, 3 Ba 3.62, 2 K 3.73
Ba  0.3333  0.6667  0.6977  3 K 3.62, 2 Ba 3.73, 3 Al 3.79
Al  0.6667  0.3333  0.2733  3 K 3.59, 2 Al 3.73, 3 Ba 3.79

---

[4]
The following is a DFT calculation (PBE) of crystalline KBa2Al at its relaxed geometry.

Values from the calculation:
electronic total energy = -2.009 eV/atom

a b c (Å): 4.7281 6.1587 6.1571
angles (deg): 90.00 90.00 90.00
Closest atoms and distances in Å follow each position.
Space group Pmm2 (No. 25)
Inequivalent atoms, fractional coordinates:
K  0.0000  0.0000  0.0000  8 Ba 3.88
Ba  0.5000  0.0000  0.5005  4 K 3.88, 4 Al 3.88
Ba  0.5000  0.5000  0.0019  4 Al 3.88-3.89, 4 K 3.88
Al  0.0000  0.5000  0.5007  8 Ba 3.88-3.89

---

Going through the records in order, we get calculated density values of 2.500 2.754 2.946 3.156 Mg/m³.